YTm2PaP4: relaxed, GGA-PBE.

Results
E = -7.3588 eV per atom
spin magnetization = 0.000 μB/cell
formation enthalpy at 0 K = -149 kJ/mol of atoms

abc: 3.9710 6.8643 6.8480
angles: 109.50 90.00 90.00
Closest atoms and distances in Å follow each position.
Positions (direct):
Y 0.0000 0.0000 0.0000  6 P 2.82
Tm 0.5000 0.0000 0.5000  6 P 2.80-2.82
P 0.0000 0.7483 0.2513  3 Tm 2.78-2.80, 2 Pa 2.80, 1 Y 2.82
P 0.0000 0.2517 0.7487  3 Tm 2.78-2.80, 2 Pa 2.80, 1 Y 2.82
P 0.5000 0.2548 0.2513  1 Pa 2.78, 3 Tm 2.79-2.82, 2 Y 2.82
Tm 0.0000 0.5000 0.5000  6 P 2.78-2.79
P 0.5000 0.7452 0.7487  1 Pa 2.78, 3 Tm 2.79-2.82, 2 Y 2.82
Pa 0.5000 0.5000 0.0000  6 P 2.78-2.80